MgSc3Mo, single point on PBEsol structure, DFT meta-GGA SCAN; total moment = 0.000 μB/f.u.; V = 25.13 A^3/atom; theoretical density = 3.4 g/cm3; DFT formation energy = 0.413 eV/atom; DOS(E_F) = 5.10 states/eV per cell
1.0
5.009 0.000 0.000
0.000 5.009 0.000
0.000 0.000 5.009
Mg Sc Mo
1 3 1
direct
0.000 0.000 0.000
0.000 0.500 0.500
0.500 0.000 0.500
0.500 0.500 0.000
0.500 0.500 0.500